<1>
A relaxed structure of Hf2Sc, computed with PBE-GGA.

The density of states at the Fermi level is 63.05 states/eV/cell. For the total magnetization, the calculation gives 14.76 μB/cell.

The space group is Fd-3m (No. 227, origin choice 2) and the conventional cell measures 8.3418, 8.3418 and 8.3418 Å, with angles of 90.00, 90.00 and 90.00 degrees. Symmetry generates all atoms from Hf at (0.0000, 0.0000, 0.0000) and Sc at (0.1250, 0.1250, 0.6250).

---

<2>
A relaxed structure of Hf2Sc, computed with PBE-GGA.

The density of states at the Fermi level is 11.38 states/eV/cell. For the total magnetization, the calculation gives 0.00 μB/cell.

The space group is C2/c (No. 15) and the conventional cell measures 9.6748, 5.6004 and 5.9654 Å, with angles of 90.00, 122.37 and 90.00 degrees. Symmetry generates all atoms from Hf at (0.1652, 0.0796, 0.2550) and Sc at (0.0000, 0.4117, 0.7500).

---

Of them, <2> has the highest stability.

---

<1>
A relaxed structure of YMoPb, computed with PBE-GGA.

The density of states at the Fermi level is 12.48 states/eV/cell. For the total magnetization, the calculation gives 14.03 μB/cell.

The space group is F-43m (No. 216) and the conventional cell measures 7.0941, 7.0941 and 7.0941 Å, with angles of 90.00, 90.00 and 90.00 degrees. Symmetry generates all atoms from Y at (0.0000, 0.0000, 0.0000), Mo at (0.2500, 0.2500, 0.2500) and Pb at (0.2500, 0.2500, 0.7500).

---

<2>
A relaxed structure of YMoPb, computed with PBE-GGA.

The density of states at the Fermi level is 3.02 states/eV/cell. For the total magnetization, the calculation gives 1.86 μB/cell.

The space group is I4mm (No. 107) and the conventional cell measures 3.6911, 3.6911 and 10.1462 Å, with angles of 90.00, 90.00 and 90.00 degrees. Symmetry generates all atoms from Y at (0.0000, 0.0000, 0.0000), Mo at (0.0000, 0.0000, 0.6720) and Pb at (0.0000, 0.0000, 0.3089).

---

Of them, <2> has the highest stability.